The following is a GGA-PBE calculation of an optimized crystal structure of Np2GeBi, from Alexandria.

Unit cell a=4.8858 b=4.8858 c=5.8276 alpha=65.22 beta=65.22 gamma=60.00
With the nearest neighbours (Å) after each atom.
Positions (direct):
Np: 0.2699 0.2699 0.1903  3 Ge 2.98, 3 Bi 3.23
Np: 0.7301 0.7301 0.8097  3 Ge 2.98, 3 Bi 3.23
Ge: 0.0000 0.0000 0.0000  6 Np 2.98
Bi: 0.5000 0.5000 0.5000  8 Np 3.23-3.52

Results
E_form = 102 meV/atom
Symmetry = R-3m (166)
Theoretical density = 11.90 Mg/m³